*i*
Computed, not measured: crystalline Y3TlHg at its relaxed geometry at the PBE level of DFT.

Summary:
D(E_F) (states/eV per atom): 1.63

a b c (Å): 5.627 5.627 5.627
angles (deg): 90.00 90.00 90.00
Space group Pm-3m (No. 221)
Asymmetric unit:
1 Y 0.000 0.000 0.500 [3 per cell]
2 Tl 0.500 0.500 0.500 [1 per cell]
3 Hg 0.000 0.000 0.000 [1 per cell]

*ii*
Computed, not measured: crystalline Y3TlHg at its relaxed geometry at the PBE level of DFT.

Summary:
D(E_F) (states/eV per atom): 0.99

a b c (Å): 5.311 19.924 5.311
angles (deg): 90.00 90.00 90.00
Space group Cmcm (No. 63)
Asymmetric unit:
1 Y 0.000 0.060 0.250 [4 per cell]
2 Y 0.000 0.250 0.250 [4 per cell]
3 Y 0.000 0.440 0.250 [4 per cell]
4 Tl 0.000 0.154 0.750 [4 per cell]
5 Hg 0.000 0.349 0.750 [4 per cell]

The data favor *ii*; the next most stable structure lies 492 meV per atom above it.

*i*
Computed, not measured: crystalline Y6Tl3Hg at its relaxed geometry at the PBE level of DFT.

Summary:
D(E_F) (states/eV per atom): 1.05

a b c (Å): 9.542 5.311 11.647
angles (deg): 90.00 107.28 90.00
Space group P2_1/m (No. 11)
Asymmetric unit:
1 Y 0.037 0.250 0.406 [2 per cell]
2 Y 0.153 0.750 0.181 [2 per cell]
3 Y 0.262 0.250 0.999 [2 per cell]
4 Y 0.351 0.750 0.819 [2 per cell]
5 Y 0.368 0.250 0.330 [2 per cell]
6 Y 0.396 0.250 0.621 [2 per cell]
7 Tl 0.030 0.750 0.891 [2 per cell]
8 Tl 0.127 0.250 0.713 [2 per cell]
9 Tl 0.282 0.750 0.473 [2 per cell]
10 Hg 0.439 0.750 0.113 [2 per cell]

*ii*
Computed, not measured: crystalline Y6Tl3Hg at its relaxed geometry at the PBE level of DFT.

Summary:
D(E_F) (states/eV per atom): 0.76

a b c (Å): 9.108 12.221 5.265
angles (deg): 90.00 90.00 90.00
Space group Pnnm (No. 58)
Asymmetric unit:
1 Y 0.000 0.247 0.000 [4 per cell]
2 Y 0.164 0.090 0.500 [4 per cell]
3 Y 0.170 0.407 0.500 [4 per cell]
4 Tl 0.000 0.500 0.000 [2 per cell]
5 Tl 0.166 0.748 0.500 [4 per cell]
6 Hg 0.000 0.000 0.000 [2 per cell]

The data favor *i*; the next most stable structure lies 19 meV per atom above it.

*i*
Computed, not measured: crystalline Tl2ZnHg at its relaxed geometry at the PBE level of DFT.

Summary:
D(E_F) (states/eV per atom): 0.45

a b c (Å): 3.472 3.522 8.602
angles (deg): 90.00 90.00 90.00
Space group Pmm2 (No. 25)
Asymmetric unit:
1 Tl 0.000 0.000 0.000 [1 per cell]
2 Tl 0.500 0.500 0.315 [1 per cell]
3 Zn 0.000 0.000 0.545 [1 per cell]
4 Hg 0.500 0.500 0.728 [1 per cell]

*ii*
Computed, not measured: crystalline Tl2ZnHg at its relaxed geometry at the PBE level of DFT.

Summary:
D(E_F) (states/eV per atom): 0.25

a b c (Å): 3.378 3.378 9.268
angles (deg): 90.00 90.00 90.00
Space group P4/mmm (No. 123)
Asymmetric unit:
1 Tl 0.000 0.000 0.224 [2 per cell]
2 Zn 0.500 0.500 0.000 [1 per cell]
3 Hg 0.500 0.500 0.500 [1 per cell]

*iii*
Computed, not measured: crystalline Tl2ZnHg at its relaxed geometry at the PBE level of DFT.

Summary:
D(E_F) (states/eV per atom): 0.42

a b c (Å): 7.543 7.543 7.543
angles (deg): 90.00 90.00 90.00
Space group Fm-3m (No. 225)
Asymmetric unit:
1 Tl 0.250 0.250 0.250 [8 per cell]
2 Zn 0.000 0.000 0.000 [4 per cell]
3 Hg 0.000 0.000 0.500 [4 per cell]

The data favor *i*; the next most stable structure lies 24 meV per atom above it.

*i*
Computed, not measured: crystalline Tl2ZnHg at its relaxed geometry at the PBE level of DFT.

Summary:
D(E_F) (states/eV per atom): 0.47

a b c (Å): 3.6321 3.6321 28.4467
angles (deg): 90.00 90.00 120.00
Space group R3m (No. 160, hexagonal axes)
Asymmetric unit:
1 Tl 0.0000 0.0000 0.0000 [3 per cell]
2 Tl 0.0000 0.0000 0.1808 [3 per cell]
3 Zn 0.0000 0.0000 0.5915 [3 per cell]
4 Hg 0.0000 0.0000 0.4231 [3 per cell]

*ii*
Computed, not measured: crystalline Tl2ZnHg at its relaxed geometry at the PBE level of DFT.

Summary:
D(E_F) (states/eV per atom): 0.40

a b c (Å): 3.325 5.568 11.489
angles (deg): 90.00 90.00 90.00
Space group Imm2 (No. 44)
Asymmetric unit:
1 Tl 0.000 0.000 0.000 [2 per cell]
2 Tl 0.000 0.500 0.211 [2 per cell]
3 Zn 0.000 0.500 0.729 [2 per cell]
4 Hg 0.000 0.000 0.433 [2 per cell]

*iii*
Computed, not measured: crystalline Tl2ZnHg at its relaxed geometry at the PBE level of DFT.

Summary:
D(E_F) (states/eV per atom): 0.40

a b c (Å): 3.756 5.473 10.432
angles (deg): 90.00 90.00 90.00
Space group Immm (No. 71)
Asymmetric unit:
1 Tl 0.000 0.000 0.222 [4 per cell]
2 Zn 0.000 0.500 0.500 [2 per cell]
3 Hg 0.000 0.500 0.000 [2 per cell]

*iv*
Computed, not measured: crystalline Tl2ZnHg at its relaxed geometry at the PBE level of DFT.

Summary:
D(E_F) (states/eV per atom): 0.23

a b c (Å): 3.5407 3.5407 29.6539
angles (deg): 90.00 90.00 120.00
Space group R-3m (No. 166, hexagonal axes)
Asymmetric unit:
1 Tl 0.0000 0.0000 0.2415 [6 per cell]
2 Zn 0.0000 0.0000 0.5000 [3 per cell]
3 Hg 0.0000 0.0000 0.0000 [3 per cell]

The data favor *ii*; the next most stable structure lies 10 meV per atom above it.

*i*
Computed, not measured: crystalline Tl2Zn2Hg at its relaxed geometry at the PBE level of DFT.

Summary:
D(E_F) (states/eV per atom): 0.37

a b c (Å): 7.204 7.204 4.651
angles (deg): 90.00 90.00 90.00
Space group P4/mbm (No. 127)
Asymmetric unit:
1 Tl 0.176 0.324 0.000 [4 per cell]
2 Zn 0.128 0.628 0.500 [4 per cell]
3 Hg 0.000 0.000 0.500 [2 per cell]

*ii*
Computed, not measured: crystalline Tl2Zn2Hg at its relaxed geometry at the PBE level of DFT.

Summary:
D(E_F) (states/eV per atom): 0.43

a b c (Å): 8.726 8.726 3.365
angles (deg): 90.00 90.00 90.00
Space group P4/mbm (No. 127)
Asymmetric unit:
1 Tl 0.190 0.310 0.000 [4 per cell]
2 Zn 0.109 0.609 0.500 [4 per cell]
3 Hg 0.000 0.000 0.000 [2 per cell]

The data favor *i*; the next most stable structure lies 76 meV per atom above it.

*i*
Computed, not measured: crystalline Tl2Zn2Hg at its relaxed geometry at the PBE level of DFT.

Summary:
D(E_F) (states/eV per atom): 0.59

a b c (Å): 3.611 3.611 19.427
angles (deg): 90.00 90.00 90.00
Space group I4/mmm (No. 139)
Asymmetric unit:
1 Tl 0.000 0.000 0.112 [4 per cell]
2 Zn 0.000 0.500 0.250 [4 per cell]
3 Hg 0.000 0.000 0.500 [2 per cell]

*ii*
Computed, not measured: crystalline Tl2Zn2Hg at its relaxed geometry at the PBE level of DFT.

Summary:
D(E_F) (states/eV per atom): 0.50

a b c (Å): 4.683 4.683 12.123
angles (deg): 90.00 90.00 90.00
Space group I4/mmm (No. 139)
Asymmetric unit:
1 Tl 0.000 0.500 0.250 [4 per cell]
2 Zn 0.000 0.000 0.100 [4 per cell]
3 Hg 0.000 0.000 0.500 [2 per cell]

The data favor *i*; the next most stable structure lies 83 meV per atom above it.

*i*
Computed, not measured: crystalline Tl2ZnHg2 at its relaxed geometry at the PBE level of DFT.

Summary:
D(E_F) (states/eV per atom): 0.38

a b c (Å): 6.194 14.429 5.857
angles (deg): 90.00 90.00 90.00
Space group Ibam (No. 72)
Asymmetric unit:
1 Tl 0.185 0.182 0.000 [8 per cell]
2 Zn 0.000 0.000 0.250 [4 per cell]
3 Hg 0.152 0.414 0.000 [8 per cell]

*ii*
Computed, not measured: crystalline Tl2ZnHg2 at its relaxed geometry at the PBE level of DFT.

Summary:
D(E_F) (states/eV per atom): 0.48

a b c (Å): 7.700 7.700 4.835
angles (deg): 90.00 90.00 90.00
Space group P4/mbm (No. 127)
Asymmetric unit:
1 Tl 0.154 0.346 0.000 [4 per cell]
2 Zn 0.000 0.000 0.000 [2 per cell]
3 Hg 0.157 0.657 0.500 [4 per cell]

*iii*
Computed, not measured: crystalline Tl2ZnHg2 at its relaxed geometry at the PBE level of DFT.

Summary:
D(E_F) (states/eV per atom): 0.35

a b c (Å): 7.341 7.341 5.081
angles (deg): 90.00 90.00 90.00
Space group P4/mbm (No. 127)
Asymmetric unit:
1 Tl 0.167 0.333 0.000 [4 per cell]
2 Zn 0.000 0.000 0.500 [2 per cell]
3 Hg 0.148 0.648 0.500 [4 per cell]

The data favor *i*; the next most stable structure lies 46 meV per atom above it.

*i*
Computed, not measured: crystalline Tl3ZnHg at its relaxed geometry at the PBE level of DFT.

Summary:
D(E_F) (states/eV per atom): 0.40

a b c (Å): 5.421 5.421 5.421
angles (deg): 90.00 90.00 90.00
Space group Pm-3m (No. 221)
Asymmetric unit:
1 Tl 0.000 0.000 0.500 [3 per cell]
2 Zn 0.000 0.000 0.000 [1 per cell]
3 Hg 0.500 0.500 0.500 [1 per cell]

*ii*
Computed, not measured: crystalline Tl3ZnHg at its relaxed geometry at the PBE level of DFT.

Summary:
D(E_F) (states/eV per atom): 0.38

a b c (Å): 5.777 5.777 5.777
angles (deg): 90.00 90.00 90.00
Space group Pm-3m (No. 221)
Asymmetric unit:
1 Tl 0.000 0.000 0.500 [3 per cell]
2 Zn 0.500 0.500 0.500 [1 per cell]
3 Hg 0.000 0.000 0.000 [1 per cell]

The data favor *i*; the next most stable structure lies 237 meV per atom above it.

*i*
Computed, not measured: crystalline ZrTl3Hg at its relaxed geometry at the PBE level of DFT.

Summary:
D(E_F) (states/eV per atom): 0.90

a b c (Å): 5.764 5.764 5.764
angles (deg): 90.00 90.00 90.00
Space group Pm-3m (No. 221)
Asymmetric unit:
1 Zr 0.000 0.000 0.000 [1 per cell]
2 Tl 0.000 0.000 0.500 [3 per cell]
3 Hg 0.500 0.500 0.500 [1 per cell]

*ii*
Computed, not measured: crystalline ZrTl3Hg at its relaxed geometry at the PBE level of DFT.

Summary:
D(E_F) (states/eV per atom): 0.66

a b c (Å): 5.535 5.535 5.535
angles (deg): 90.00 90.00 90.00
Space group Pm-3m (No. 221)
Asymmetric unit:
1 Zr 0.000 0.000 0.000 [1 per cell]
2 Tl 0.000 0.500 0.500 [3 per cell]
3 Hg 0.500 0.500 0.500 [1 per cell]

The data favor *i*; the next most stable structure lies 405 meV per atom above it.

*i*
Computed, not measured: crystalline ZrTlHg at its relaxed geometry at the PBE level of DFT.

Summary:
D(E_F) (states/eV per atom): 0.60

a b c (Å): 3.448 5.590 15.089
angles (deg): 90.00 90.00 90.00
Space group Fmm2 (No. 42)
Asymmetric unit:
1 Zr 0.000 0.000 0.000 [4 per cell]
2 Tl 0.000 0.000 0.331 [4 per cell]
3 Hg 0.000 0.000 0.661 [4 per cell]

*ii*
Computed, not measured: crystalline ZrTlHg at its relaxed geometry at the PBE level of DFT.

Summary:
D(E_F) (states/eV per atom): 0.54

a b c (Å): 3.321 3.321 12.701
angles (deg): 90.00 90.00 90.00
Space group I4mm (No. 107)
Asymmetric unit:
1 Zr 0.000 0.000 0.000 [2 per cell]
2 Tl 0.000 0.000 0.331 [2 per cell]
3 Hg 0.000 0.000 0.655 [2 per cell]

*iii*
Computed, not measured: crystalline ZrTlHg at its relaxed geometry at the PBE level of DFT.

Summary:
D(E_F) (states/eV per atom): 0.72

a b c (Å): 3.208 5.562 16.366
angles (deg): 90.00 90.00 90.00
Space group Immm (No. 71)
Asymmetric unit:
1 Zr 0.000 0.000 0.170 [4 per cell]
2 Tl 0.000 0.000 0.350 [4 per cell]
3 Hg 0.000 0.247 0.000 [4 per cell]

The data favor *ii*; the next most stable structure lies 34 meV per atom above it.